Record 1
Below is an optimized crystal structure of Ca8CdIn2, with properties calculated at the PBE-GGA level.

Lattice parameters (Å, degrees): 5.444 7.687 9.883 109.79 105.99 90.00
Positions (direct):
Ca  0.802  0.708  0.604
Ca  0.975  0.221  0.950
Ca  0.198  0.292  0.396
Ca  0.401  0.548  0.802
Ca  0.666  0.951  0.333
Ca  0.025  0.779  0.050
Ca  0.334  0.049  0.667
Ca  0.599  0.452  0.198
Cd  0.500  0.000  0.000
In  0.820  0.306  0.640
In  0.180  0.694  0.360

Results
Offset from the most stable computed form   0 meV per atom
Total moment   0.00 Bohr magnetons per cell

Record 2
Below is an optimized crystal structure of CoWNCl2, with properties calculated at the PBE-GGA level.

Lattice parameters (Å, degrees): 5.283 3.747 5.283 90.00 90.00 90.00
Site moments in Bohr magnetons follow the coordinates.
Positions (direct):
W  0.000  0.500  0.000  1.60
Cl  0.000  0.000  0.500  -0.01
Cl  0.500  0.000  0.000  0.01
Co  0.500  0.500  0.500  2.12
N  0.000  0.000  0.000  -0.21

Results
Total moment   3.99 Bohr magnetons per cell
Formation energy (no corrections)   1.361 eV per atom

Record 3
Below is an optimized crystal structure of Ba12Mg3Ga5, with properties calculated at the PBE-GGA level.

Lattice parameters (Å, degrees): 17.757 17.757 17.757 109.47 109.47 109.47
Site moments in Bohr magnetons follow the coordinates.
Positions (direct):
Ba  0.962  0.379  0.290  0.04
Ba  0.411  0.290  0.328  0.04
Ba  0.879  0.290  0.462  0.04
Ba  0.589  0.710  0.672  0.04
Ba  0.538  0.328  0.916  0.04
Ba  0.790  0.328  0.911  0.04
Ba  0.710  0.121  0.038  0.04
Ba  0.379  0.962  0.790  0.04
Ba  0.121  0.710  0.538  0.04
Ba  0.089  0.916  0.379  0.04
Ba  0.911  0.084  0.621  0.04
Ba  0.210  0.538  0.621  0.04
Ba  0.828  0.911  0.290  0.04
Ba  0.172  0.089  0.710  0.04
Ba  0.962  0.584  0.172  0.04
Ba  0.584  0.621  0.411  0.04
Ba  0.911  0.828  0.790  0.04
Ba  0.462  0.672  0.084  0.04
Ba  0.828  0.916  0.038  0.04
Ba  0.328  0.538  0.416  0.04
Ba  0.879  0.589  0.916  0.04
Ba  0.038  0.621  0.710  0.04
Ba  0.210  0.672  0.089  0.04
Ba  0.710  0.589  0.172  0.04
Ba  0.916  0.828  0.538  0.04
Ba  0.416  0.379  0.589  0.04
Ba  0.672  0.210  0.589  0.04
Ba  0.790  0.462  0.379  0.04
Ba  0.089  0.172  0.210  0.04
Ba  0.379  0.416  0.089  0.04
Ba  0.584  0.962  0.672  0.04
Ba  0.621  0.038  0.210  0.04
Ba  0.290  0.411  0.828  0.04
Ba  0.411  0.121  0.584  0.04
Ba  0.589  0.879  0.416  0.04
Ba  0.172  0.084  0.962  0.04
Ba  0.084  0.911  0.121  0.04
Ba  0.038  0.416  0.828  0.04
Ba  0.328  0.790  0.411  0.04
Ba  0.121  0.411  0.084  0.04
Ba  0.290  0.879  0.962  0.04
Ba  0.916  0.089  0.879  0.04
Ba  0.621  0.584  0.911  0.04
Ba  0.538  0.210  0.121  0.04
Ba  0.084  0.172  0.462  0.04
Ba  0.672  0.462  0.584  0.04
Ba  0.462  0.790  0.879  0.04
Ba  0.416  0.038  0.328  0.04
Ga  0.875  0.625  0.750  0.20
Ga  0.625  0.750  0.875  0.20
Ga  0.625  0.875  0.250  0.20
Ga  0.250  0.875  0.125  0.20
Ga  0.500  0.500  0.000  0.04
Ga  0.500  0.000  0.000  0.04
Ga  0.125  0.750  0.375  0.20
Ga  0.375  0.250  0.125  0.20
Ga  0.000  0.500  0.000  0.04
Ga  0.000  0.000  0.000  0.04
Ga  0.125  0.375  0.250  0.20
Ga  0.250  0.375  0.625  0.20
Ga  0.000  0.000  0.500  0.04
Ga  0.500  0.500  0.500  0.04
Ga  0.875  0.250  0.625  0.20
Ga  0.000  0.500  0.500  0.04
Ga  0.750  0.625  0.375  0.20
Ga  0.500  0.000  0.500  0.04
Ga  0.750  0.125  0.875  0.20
Ga  0.375  0.125  0.750  0.20
Mg  0.250  0.625  0.875  0.00
Mg  0.875  0.125  0.250  0.00
Mg  0.375  0.750  0.625  0.00
Mg  0.625  0.250  0.375  0.00
Mg  0.375  0.625  0.250  0.00
Mg  0.250  0.125  0.375  0.00
Mg  0.875  0.750  0.125  0.00
Mg  0.750  0.375  0.125  0.00
Mg  0.125  0.875  0.750  0.00
Mg  0.750  0.875  0.625  0.00
Mg  0.625  0.375  0.750  0.00
Mg  0.125  0.250  0.875  0.00

Results
Total moment   12.25 Bohr magnetons per cell
E_tot   -162.96 eV for the cell shown